No. 1
Here is a PBEsol-optimized structure of TiReC3 from Alexandria via LeMat-Bulk. Energies are from SCAN.

Cell lengths 3.834, 3.834, 3.834 Å; angles 90.00, 90.00, 90.00 degrees
Space group Pm-3m (No. 221)
Asymmetric unit:
Ti 0.000 0.000 0.000 [1 per cell]
Re 0.500 0.500 0.500 [1 per cell]
C 0.000 0.000 0.500 [3 per cell]

Summary:
**Total energy**: -104.8 eV/cell
**E above lowest polymorph**: 1094.2 meV per atom
**Volume**: 56.35 Å³/cell
**Formation enthalpy at 0 K**: 244 kJ per mole of atoms

***

No. 2
Here is a PBEsol-optimized structure of TlCo2Au from Alexandria via LeMat-Bulk. Energies are from SCAN.

Cell lengths 3.129, 3.129, 6.006 Å; angles 90.00, 90.00, 90.00 degrees
Space group P4/mmm (No. 123)
Asymmetric unit:
Tl 0.000 0.000 0.000 [1 per cell]
Co 0.500 0.500 0.267 [2 per cell]
Au 0.000 0.000 0.500 [1 per cell]

Summary:
**Total energy**: -174.6 eV/cell
**Volume**: 58.80 Å³/cell
**Formation enthalpy at 0 K**: 36 kJ per mole of atoms

***

No. 3
Here is a PBEsol-optimized structure of Ir2RuPt from Alexandria via LeMat-Bulk. Energies are from SCAN.

Cell lengths 8.995, 2.711, 4.688 Å; angles 90.00, 99.92, 90.00 degrees
Space group Cm (No. 8)
Asymmetric unit:
Ir 0.000 0.000 0.000 [2 per cell]
Ir 0.248 0.500 0.247 [2 per cell]
Ru 0.254 0.000 0.760 [2 per cell]
Pt 0.002 0.500 0.505 [2 per cell]

Summary:
**Total energy**: -494.2 eV/cell
**E above lowest polymorph**: 32.8 meV per atom
**Volume**: 112.60 Å³/cell
**Formation enthalpy at 0 K**: 2 kJ per mole of atoms

***

No. 4
Here is a PBEsol-optimized structure of ZrAl2Co2 from Alexandria via LeMat-Bulk. Energies are from SCAN.

Cell lengths 3.697, 3.697, 10.541 Å; angles 90.00, 90.00, 90.00 degrees
Space group I4/mmm (No. 139)
Asymmetric unit:
Zr 0.000 0.000 0.000 [2 per cell]
Al 0.000 0.500 0.250 [4 per cell]
Co 0.000 0.000 0.398 [4 per cell]

Summary:
**Total energy**: -164.8 eV/cell
**E above lowest polymorph**: 63.8 meV per atom
**Volume**: 144.07 Å³/cell
**Formation enthalpy at 0 K**: -31 kJ per mole of atoms

***

No. 5
Here is a PBEsol-optimized structure of Ba2Ge2Te from Alexandria via LeMat-Bulk. Energies are from SCAN.

Cell lengths 6.337, 6.337, 8.467 Å; angles 90.00, 90.00, 90.00 degrees
Space group I4/mmm (No. 139)
Asymmetric unit:
Ba 0.000 0.500 0.250 [4 per cell]
Ge 0.000 0.000 0.138 [4 per cell]
Te 0.000 0.000 0.500 [2 per cell]

Summary:
**Total energy**: -315.1 eV/cell
**E_form (uncorrected)**: -0.601 eV per atom
**Volume**: 340.00 Å³/cell

***

No. 6
Here is a PBEsol-optimized structure of NaZnSiHO4 from Alexandria via LeMat-Bulk. Energies are from SCAN.

Cell lengths 5.166, 7.662, 9.333 Å; angles 90.00, 90.00, 90.00 degrees
Space group P2_12_12_1 (No. 19)
Asymmetric unit:
Na 0.023 0.209 0.337 [4 per cell]
Zn 0.026 0.111 0.990 [4 per cell]
Si 0.015 0.486 0.839 [4 per cell]
H 0.021 0.289 0.627 [4 per cell]
O 0.078 0.958 0.828 [4 per cell]
O 0.103 0.170 0.594 [4 per cell]
O 0.128 0.833 0.567 [4 per cell]
O 0.170 0.519 0.349 [4 per cell]

Summary:
**Total energy**: -294.0 eV/cell
**Volume**: 369.43 Å³/cell

***

No. 7
Here is a PBEsol-optimized structure of RbAs2Ir2 from Alexandria via LeMat-Bulk. Energies are from SCAN.

Cell lengths 4.008, 4.008, 13.732 Å; angles 90.00, 90.00, 90.00 degrees
Space group I4/mmm (No. 139)
Asymmetric unit:
Rb 0.000 0.000 0.000 [2 per cell]
As 0.000 0.000 0.352 [4 per cell]
Ir 0.000 0.500 0.250 [4 per cell]

Summary:
**Total energy**: -412.5 eV/cell
**Volume**: 220.61 Å³/cell
**Formation enthalpy at 0 K**: -57 kJ per mole of atoms

***

No. 8
Here is a PBEsol-optimized structure of HgRhSe2N from Alexandria via LeMat-Bulk. Energies are from SCAN.

Cell lengths 5.107, 5.107, 3.596 Å; angles 90.00, 90.00, 90.00 degrees
Space group P4/mmm (No. 123)
Asymmetric unit:
Hg 0.000 0.000 0.000 [1 per cell]
Rh 0.500 0.500 0.500 [1 per cell]
Se 0.000 0.500 0.500 [2 per cell]
N 0.500 0.500 0.000 [1 per cell]

Summary:
**Total energy**: -149.3 eV/cell
**E_form (uncorrected)**: 0.422 eV per atom
**E above lowest polymorph**: 0.0 meV per atom
**Volume**: 93.80 Å³/cell